# Li3AgSe (GGA-PBEsol, optimized geometry)
# - Size of the total moment: 0.000 μB/f.u.
# - E_form (uncorrected): -0.495 eV/atom
data_Li3AgSe
_space_group_name_H-M_alt 'P m -3 m'
_space_group_IT_number 221
_space_group_name_Hall '-P 4 2 3'
_cell_length_a 4.7770
_cell_length_b 4.7770
_cell_length_c 4.7770
_cell_angle_alpha 90.00
_cell_angle_beta 90.00
_cell_angle_gamma 90.00
loop_
_atom_site_label
_atom_site_fract_x
_atom_site_fract_y
_atom_site_fract_z
Li1 0.0000 0.0000 0.5000
Ag1 0.5000 0.5000 0.5000
Se1 0.0000 0.0000 0.0000

# CaTlSi2 (GGA-PBEsol, optimized geometry)
# - Size of the total moment: 0.000 μB/f.u.
# - E_form (uncorrected): 0.182 eV/atom
data_CaTlSi2
_space_group_name_H-M_alt 'F -4 3 m'
_space_group_IT_number 216
_space_group_name_Hall 'F -4 2 3'
_cell_length_a 7.0277
_cell_length_b 7.0277
_cell_length_c 7.0277
_cell_angle_alpha 90.00
_cell_angle_beta 90.00
_cell_angle_gamma 90.00
loop_
_atom_site_label
_atom_site_fract_x
_atom_site_fract_y
_atom_site_fract_z
Ca1 0.0000 0.0000 0.0000
Tl1 0.2500 0.2500 0.2500
Si1 0.0000 0.0000 0.5000
Si2 0.2500 0.2500 0.7500

# HoLuRu2 (GGA-PBEsol, optimized geometry)
# - Size of the total moment: 0.000 μB/f.u.
# - Energy of formation from the pure elements: -34.44 kJ per mole of atoms
data_HoLuRu2
_space_group_name_H-M_alt 'F m -3 m'
_space_group_IT_number 225
_space_group_name_Hall '-F 4 2 3'
_cell_length_a 6.6015
_cell_length_b 6.6015
_cell_length_c 6.6015
_cell_angle_alpha 90.00
_cell_angle_beta 90.00
_cell_angle_gamma 90.00
loop_
_atom_site_label
_atom_site_fract_x
_atom_site_fract_y
_atom_site_fract_z
Ho1 0.0000 0.0000 0.0000
Lu1 0.0000 0.0000 0.5000
Ru1 0.2500 0.2500 0.2500

# SiAs2PbBr (GGA-PBEsol, optimized geometry)
# - Size of the total moment: 0.006 μB/f.u.
# - E_form (uncorrected): 1.131 eV/atom
data_SiAs2PbBr
_space_group_name_H-M_alt 'P 4/m m m'
_space_group_IT_number 123
_space_group_name_Hall '-P 4 2'
_cell_length_a 5.3216
_cell_length_b 5.3216
_cell_length_c 5.4413
_cell_angle_alpha 90.00
_cell_angle_beta 90.00
_cell_angle_gamma 90.00
loop_
_atom_site_label
_atom_site_fract_x
_atom_site_fract_y
_atom_site_fract_z
Si1 0.0000 0.0000 0.0000
As1 0.0000 0.5000 0.5000
Pb1 0.5000 0.5000 0.5000
Br1 0.5000 0.5000 0.0000

# DySi2Ir2 (GGA-PBEsol, optimized geometry)
# - Size of the total moment: 0.000 μB/f.u.
# - E_form (uncorrected): -1.097 eV/atom
data_DySi2Ir2
_space_group_name_H-M_alt 'P 4/n m m'
_space_group_IT_number 129
_cell_length_a 4.0846
_cell_length_b 4.0846
_cell_length_c 9.7772
_cell_angle_alpha 90.00
_cell_angle_beta 90.00
_cell_angle_gamma 90.00
loop_
_space_group_symop_operation_xyz
'x,y,z'
'-x,-y,-z'
'-y+1/2,x,z'
'y+1/2,-x,-z'
'-x+1/2,-y+1/2,z'
'x+1/2,y+1/2,-z'
'y,-x+1/2,z'
'-y,x+1/2,-z'
'x+1/2,-y,-z'
'-x+1/2,y,z'
'-y,-x,-z'
'y,x,z'
'-x,y+1/2,-z'
'x,-y+1/2,z'
'y+1/2,x+1/2,-z'
'-y+1/2,-x+1/2,z'
loop_
_atom_site_label
_atom_site_fract_x
_atom_site_fract_y
_atom_site_fract_z
Dy1 0.2500 0.2500 0.2468
Si1 0.2500 0.2500 0.6313
Si2 0.2500 0.7500 0.0000
Ir1 0.2500 0.2500 0.8707
Ir2 0.2500 0.7500 0.5000

# Hg2SN (GGA-PBEsol, optimized geometry)
# - Size of the total moment: 0.000 μB/f.u.
# - E_form (uncorrected): 0.654 eV/atom
data_Hg2SN
_space_group_name_H-M_alt 'I -4 2 d'
_space_group_IT_number 122
_space_group_name_Hall 'I -4 2bw'
_cell_length_a 5.5238
_cell_length_b 5.5238
_cell_length_c 10.7371
_cell_angle_alpha 90.00
_cell_angle_beta 90.00
_cell_angle_gamma 90.00
loop_
_atom_site_label
_atom_site_fract_x
_atom_site_fract_y
_atom_site_fract_z
Hg1 0.1889 0.2500 0.1250
S1 0.0000 0.0000 0.5000
N1 0.0000 0.0000 0.0000

# MgSi2Tc (GGA-PBEsol, optimized geometry)
# - Size of the total moment: 0.000 μB/f.u.
# - E_form (uncorrected): -0.163 eV/atom
data_MgSi2Tc
_space_group_name_H-M_alt 'R -3 m'
_space_group_IT_number 166
_space_group_name_Hall '-R 3 2"'
_cell_length_a 3.0109
_cell_length_b 3.0109
_cell_length_c 23.8578
_cell_angle_alpha 90.00
_cell_angle_beta 90.00
_cell_angle_gamma 120.00
loop_
_atom_site_label
_atom_site_fract_x
_atom_site_fract_y
_atom_site_fract_z
Mg1 0.0000 0.0000 0.0000
Si1 0.0000 0.0000 0.2394
Tc1 0.0000 0.0000 0.5000

# Y2ScP (GGA-PBEsol, optimized geometry)
# - Size of the total moment: 0.001 μB/f.u.
# - Energy of formation from the pure elements: -35.59 kJ per mole of atoms
data_Y2ScP
_space_group_name_H-M_alt 'I 4/m m m'
_space_group_IT_number 139
_space_group_name_Hall '-I 4 2'
_cell_length_a 4.2880
_cell_length_b 4.2880
_cell_length_c 9.4940
_cell_angle_alpha 90.00
_cell_angle_beta 90.00
_cell_angle_gamma 90.00
loop_
_atom_site_label
_atom_site_fract_x
_atom_site_fract_y
_atom_site_fract_z
Y1 0.0000 0.5000 0.2500
Sc1 0.0000 0.0000 0.0000
P1 0.0000 0.0000 0.5000

# KIr3S (GGA-PBEsol, optimized geometry)
# - Size of the total moment: 0.001 μB/f.u.
# - E_form (uncorrected): 0.850 eV/atom
data_KIr3S
_space_group_name_H-M_alt 'P m -3 m'
_space_group_IT_number 221
_space_group_name_Hall '-P 4 2 3'
_cell_length_a 4.4578
_cell_length_b 4.4578
_cell_length_c 4.4578
_cell_angle_alpha 90.00
_cell_angle_beta 90.00
_cell_angle_gamma 90.00
loop_
_atom_site_label
_atom_site_fract_x
_atom_site_fract_y
_atom_site_fract_z
K1 0.0000 0.0000 0.0000
Ir1 0.0000 0.5000 0.5000
S1 0.5000 0.5000 0.5000

# AlCrSCl2 (GGA-PBEsol, optimized geometry)
# - Size of the total moment: 2.999 μB/f.u.
# - E_form (uncorrected): -0.359 eV/atom
data_AlCrSCl2
_space_group_name_H-M_alt 'P 4/m m m'
_space_group_IT_number 123
_space_group_name_Hall '-P 4 2'
_cell_length_a 4.7678
_cell_length_b 4.7678
_cell_length_c 4.5496
_cell_angle_alpha 90.00
_cell_angle_beta 90.00
_cell_angle_gamma 90.00
loop_
_atom_site_label
_atom_site_fract_x
_atom_site_fract_y
_atom_site_fract_z
Al1 0.0000 0.0000 0.0000
Cr1 0.5000 0.5000 0.5000
S1 0.5000 0.5000 0.0000
Cl1 0.0000 0.5000 0.5000

# HgSbIr2 (GGA-PBEsol, optimized geometry)
# - Size of the total moment: 0.000 μB/f.u.
# - E_form (uncorrected): 0.560 eV/atom
data_HgSbIr2
_space_group_name_H-M_alt 'I -4 2 d'
_space_group_IT_number 122
_space_group_name_Hall 'I -4 2bw'
_cell_length_a 7.2486
_cell_length_b 7.2486
_cell_length_c 5.6812
_cell_angle_alpha 90.00
_cell_angle_beta 90.00
_cell_angle_gamma 90.00
loop_
_atom_site_label
_atom_site_fract_x
_atom_site_fract_y
_atom_site_fract_z
Hg1 0.0000 0.0000 0.0000
Sb1 0.0000 0.0000 0.5000
Ir1 0.2237 0.2500 0.6250